[1]
VASP calculation (PBE-GGA) on a geometry-optimized CaLa2Pr5 structure.

Cell: 9.225 9.225 9.225 Å, 156.74 101.35 83.36°
Element x y z (fractional)
Ca (0.000, 0.000, 0.000)
La (0.244, 0.744, 0.500)
La (0.756, 0.256, 0.500)
Pr (0.137, 0.368, 0.769)
Pr (0.401, 0.632, 0.769)
Pr (0.500, 0.000, 0.500)
Pr (0.599, 0.368, 0.231)
Pr (0.863, 0.632, 0.231)

Properties
ΔH_f (0 K)	49	meV per atom
SG	No. 71
DOS at the Fermi energy	1.471	states/eV per atom
crystal system	orthorhombic
total DFT energy (no corrections)	-35.37	eV per formula unit

[2]
VASP calculation (PBE-GGA) on a geometry-optimized Ca4LaPr3 structure.

Cell: 5.375 10.753 10.816 Å, 90.00 90.00 90.00°
Element x y z (fractional)
Ca (0.250, 0.001, 0.132)
Ca (0.250, 0.250, 0.868)
Ca (0.250, 0.499, 0.132)
Ca (0.250, 0.750, 0.867)
Ca (0.750, 0.250, 0.133)
Ca (0.750, 0.501, 0.868)
Ca (0.750, 0.750, 0.132)
Ca (0.750, 0.999, 0.868)
La (0.250, 0.750, 0.389)
La (0.750, 0.250, 0.611)
Pr (0.250, 0.000, 0.613)
Pr (0.250, 0.250, 0.388)
Pr (0.250, 0.500, 0.613)
Pr (0.750, 0.000, 0.387)
Pr (0.750, 0.500, 0.387)
Pr (0.750, 0.750, 0.612)

Properties
ΔH_f (0 K)	19	meV per atom
SG	No. 59
DOS at the Fermi energy	1.254	states/eV per atom
crystal system	orthorhombic
total DFT energy (no corrections)	-27.12	eV per formula unit

[3]
VASP calculation (PBE-GGA) on a geometry-optimized CaLa2Pr9 structure.

Cell: 5.282 5.282 15.776 Å, 90.00 90.00 90.00°
Element x y z (fractional)
Ca (0.000, 0.000, 0.000)
La (0.000, 0.000, 0.333)
La (0.000, 0.000, 0.667)
Pr (0.000, 0.500, 0.171)
Pr (0.000, 0.500, 0.500)
Pr (0.000, 0.500, 0.829)
Pr (0.500, 0.000, 0.171)
Pr (0.500, 0.000, 0.500)
Pr (0.500, 0.000, 0.829)
Pr (0.500, 0.500, 0.000)
Pr (0.500, 0.500, 0.333)
Pr (0.500, 0.500, 0.667)

Properties
ΔH_f (0 K)	28	meV per atom
SG	No. 123
DOS at the Fermi energy	1.786	states/eV per atom
crystal system	tetragonal
total DFT energy (no corrections)	-54.54	eV per formula unit

[4]
VASP calculation (PBE-GGA) on a geometry-optimized CaLaPr6 structure.

Cell: 5.291 5.291 10.515 Å, 90.00 90.00 90.00°
Element x y z (fractional)
Ca (0.000, 0.000, 0.000)
La (0.000, 0.000, 0.500)
Pr (0.000, 0.500, 0.255)
Pr (0.000, 0.500, 0.745)
Pr (0.500, 0.000, 0.255)
Pr (0.500, 0.000, 0.745)
Pr (0.500, 0.500, 0.000)
Pr (0.500, 0.500, 0.500)

Properties
ΔH_f (0 K)	37	meV per atom
SG	No. 123
DOS at the Fermi energy	1.739	states/eV per atom
crystal system	tetragonal
total DFT energy (no corrections)	-35.31	eV per formula unit

total DFT energy (no corrections) of number 3 (CaLa2Pr9)?
-54.54 eV per formula unit

Which formula does entry 1 have?
CaLa2Pr5